Record 1
The following is a PBE calculation of a geometry-optimized Rb2Ho structure, from the Open Quantum Materials Database.

Cell lengths 6.926, 6.926, 6.926 Å; angles 60.00, 60.00, 60.00 degrees
Last column: magnetic moment on the atom in μB.
Element x y z (fractional)
Rb (0.750, 0.750, 0.750)  0.02
Ho (0.000, 0.000, 0.000)  0.70
Rb (0.250, 0.250, 0.250)  0.02

- density (g/cm³) = 2.37
- space group = No. 225
- total magnetization (μB/f.u.) = 1.8
- DFT total energy (eV/f.u.) = -3.384

---

Record 2
The following is a PBE calculation of a geometry-optimized SrPuAu structure, from the Open Quantum Materials Database.

Cell lengths 5.104, 5.104, 5.104 Å; angles 60.00, 60.00, 60.00 degrees
Last column: magnetic moment on the atom in μB.
Element x y z (fractional)
Sr (0.750, 0.750, 0.750)  0.22
Au (0.250, 0.250, 0.250)  0.01
Pu (0.000, 0.000, 0.000)  5.86

- density (g/cm³) = 9.33
- space group = No. 216
- total magnetization (μB/f.u.) = 6.8
- DFT total energy (eV/f.u.) = -18.391

---

Record 3
The following is a PBE calculation of a geometry-optimized LuNbZnCu structure, from the Open Quantum Materials Database.

Cell lengths 4.686, 4.686, 4.686 Å; angles 60.00, 60.00, 60.00 degrees
Element x y z (fractional)
Lu (0.500, 0.500, 0.500)
Cu (0.750, 0.750, 0.750)
Zn (0.000, 0.000, 0.000)
Nb (0.250, 0.250, 0.250)

- density (g/cm³) = 9.06
- space group = No. 216
- total magnetization (μB/f.u.) = 2.9
- DFT total energy (eV/f.u.) = -18.403
- DFT formation energy (meV/atom) = 299

---

Record 4
The following is a PBE calculation of a geometry-optimized LaHoGa2 structure, from the Open Quantum Materials Database.

Cell lengths 4.153, 6.037, 6.037 Å; angles 43.08, 90.00, 90.00 degrees
Element x y z (fractional)
Ga (0.000, 0.068, 0.068)
La (0.500, 0.643, 0.643)
Ga (0.500, 0.924, 0.924)
Ho (0.000, 0.365, 0.365)

- density (g/cm³) = 7.12
- space group = No. 38
- total magnetization (μB/f.u.) = 0.0
- DFT total energy (eV/f.u.) = -17.942

---

Record 5
The following is a PBE calculation of a geometry-optimized USi structure, from the Open Quantum Materials Database.

Cell lengths 4.044, 4.044, 4.044 Å; angles 60.00, 60.00, 60.00 degrees
Last column: magnetic moment on the atom in μB.
Element x y z (fractional)
U (0.500, 0.500, 0.500)  1.74
Si (0.000, 0.000, 0.000)  -0.06

- density (g/cm³) = 9.45
- space group = No. 225
- total magnetization (μB/f.u.) = 1.9
- DFT total energy (eV/f.u.) = -16.537

---

Record 6
The following is a PBE calculation of a geometry-optimized GeW structure, from the Open Quantum Materials Database.

Cell lengths 3.192, 3.192, 3.631 Å; angles 90.00, 90.00, 120.00 degrees
Element x y z (fractional)
Ge (0.667, 0.333, 0.750)
W (0.333, 0.667, 0.250)

- density (g/cm³) = 13.29
- space group = No. 187
- total magnetization (μB/f.u.) = 0.0
- DFT total energy (eV/f.u.) = -17.160

---

Record 7
The following is a PBE calculation of a geometry-optimized ThSc structure, from the Open Quantum Materials Database.

Cell lengths 4.467, 4.467, 4.467 Å; angles 60.00, 60.00, 60.00 degrees
Last column: magnetic moment on the atom in μB.
Element x y z (fractional)
Sc (0.000, 0.000, 0.000)  0.14
Th (0.500, 0.500, 0.500)  0.12

- density (g/cm³) = 7.30
- space group = No. 225
- total magnetization (μB/f.u.) = 0.4
- DFT total energy (eV/f.u.) = -11.910
- DFT formation energy (meV/atom) = 916

---

Record 8
The following is a PBE calculation of a geometry-optimized MgSc2CdAg2Au2 structure, from the Open Quantum Materials Database.

Cell lengths 4.759, 4.759, 6.755 Å; angles 90.00, 90.00, 90.00 degrees
Element x y z (fractional)
Ag (0.500, 0.000, 0.256)
Mg (0.500, 0.500, 0.500)
Sc (0.500, 0.500, 0.000)
Au (0.500, 0.000, 0.736)
Cd (0.000, 0.000, 0.000)
Ag (0.000, 0.500, 0.744)
Sc (0.000, 0.000, 0.500)
Au (0.000, 0.500, 0.264)

- density (g/cm³) = 9.08
- space group = No. 115
- total magnetization (μB/f.u.) = 0.0
- DFT total energy (eV/f.u.) = -31.247

---

Record 9
The following is a PBE calculation of a geometry-optimized NaSmCoSe3 structure, from the Open Quantum Materials Database.

Cell lengths 11.366, 4.118, 11.961 Å; angles 90.00, 90.00, 90.00 degrees
Last column: magnetic moment on the atom in μB.
Element x y z (fractional)
Co (0.751, 0.500, 0.211)  2.01
Se (0.949, 0.500, 0.147)  0.11
Se (0.449, 0.500, 0.353)  0.11
Na (0.824, 0.000, 0.000)  0.00
Se (0.885, 0.000, 0.560)  0.09
Sm (0.519, 0.500, 0.818)  0.03
Sm (0.019, 0.500, 0.682)  0.03
Se (0.783, 0.500, 0.809)  0.16
Co (0.251, 0.500, 0.289)  1.99
Co (0.249, 0.000, 0.789)  2.01
Se (0.115, 0.500, 0.440)  0.09
Na (0.676, 0.500, 0.500)  0.00
Se (0.217, 0.000, 0.191)  0.16
Sm (0.481, 0.000, 0.182)  0.03
Na (0.176, 0.500, 0.000)  0.00
Se (0.385, 0.000, 0.940)  0.10
Se (0.283, 0.500, 0.691)  0.17
Se (0.717, 0.000, 0.309)  0.17
Co (0.749, 0.000, 0.711)  1.99
Se (0.051, 0.000, 0.853)  0.11
Se (0.551, 0.000, 0.647)  0.11
Na (0.324, 0.000, 0.500)  0.00
Sm (0.981, 0.000, 0.318)  0.03
Se (0.615, 0.500, 0.060)  0.10

- density (g/cm³) = 5.57
- space group = No. 62
- total magnetization (μB/f.u.) = 2.7
- DFT total energy (eV/f.u.) = -29.974

---

Record 10
The following is a PBE calculation of a geometry-optimized HgAuNO structure, from the Open Quantum Materials Database.

Cell lengths 4.681, 4.681, 4.974 Å; angles 90.00, 90.00, 90.00 degrees
Element x y z (fractional)
O (0.250, 0.750, 0.000)
Au (0.750, 0.750, 0.999)
N (0.750, 0.750, 0.503)
Hg (0.750, 0.250, 0.500)
Hg (0.250, 0.750, 0.500)
Au (0.250, 0.250, 0.001)
N (0.250, 0.250, 0.497)
O (0.750, 0.250, 0.000)

- density (g/cm³) = 13.03
- space group = No. 129
- DFT total energy (eV/f.u.) = -13.100

---

Record 11
The following is a PBE calculation of a geometry-optimized Ho2Re structure, from the Open Quantum Materials Database.

Cell lengths 8.233, 8.233, 8.233 Å; angles 60.00, 60.00, 60.00 degrees
Last column: magnetic moment on the atom in μB.
Element x y z (fractional)
Ho (0.375, 0.375, 0.375)  0.23
Ho (0.375, 0.875, 0.375)  0.22
Ho (0.375, 0.375, 0.875)  0.23
Ho (0.875, 0.375, 0.375)  0.18
Re (0.250, 0.250, 0.250)  -0.02
Re (0.500, 0.500, 0.500)  -0.02

- density (g/cm³) = 4.34
- space group = No. 227
- total magnetization (μB/f.u.) = 1.0
- DFT total energy (eV/f.u.) = -16.396
- DFT formation energy (meV/atom) = 1727

---

Record 12
The following is a PBE calculation of a geometry-optimized Nd2CuSb4W structure, from the Open Quantum Materials Database.

Cell lengths 4.301, 4.301, 10.698 Å; angles 90.00, 90.00, 90.00 degrees
Last column: magnetic moment on the atom in μB.
Element x y z (fractional)
Nd (0.000, 0.500, 0.735)  0.00
Sb (0.000, 0.000, 0.500)  0.00
W (0.500, 0.500, 0.000)  0.41
Cu (0.000, 0.000, 0.000)  0.00
Sb (0.000, 0.500, 0.158)  0.00
Sb (0.500, 0.500, 0.500)  0.00
Sb (0.500, 0.000, 0.842)  -0.01
Nd (0.500, 0.000, 0.265)  0.02

- density (g/cm³) = 8.58
- space group = No. 115
- total magnetization (μB/f.u.) = 0.5
- DFT total energy (eV/f.u.) = -45.636